A relaxed FeGeAuF2 crystal, computed with PBE with a Hubbard U. Values from VASP.

Summary:
Energy   -17.8 eV per cell
Volume   98.2 Å³/f.u.

Quantum ESPRESSO input file:
```
&SYSTEM
  ibrav = 0, nat = 5, ntyp = 4
/
ATOMIC_SPECIES
Ge 72.64 Ge.upf
Au 196.97 Au.upf
Fe 55.84 Fe.upf
F 19.00 F.upf
CELL_PARAMETERS angstrom
4.337 0.000 0.000
0.000 5.221 0.000
0.000 0.000 4.337
ATOMIC_POSITIONS crystal
Ge 0.000 0.500 0.000
Au 0.000 0.000 0.000
Fe 0.500 0.500 0.500
F 0.000 0.000 0.500
F 0.500 0.000 0.000
```